Below is a relaxed ZrMn2P crystal, with properties calculated at the GGA-PBE level.

As for the formation energy: -0.26 eV/atom. For the density, the calculation gives 6.72 g cm⁻³. The value obtained for the density of states at the Fermi level is 2.99 states/eV per cell. The calculated total energy is -8.335 eV per atom. As for the crystal system: tetragonal.

The space group is P4mm (No. 99) and the conventional cell measures 2.966, 2.966 and 6.520 Å, with angles of 90.00, 90.00 and 90.00 degrees. The inequivalent atoms are Zr at (0.000, 0.000, 0.000), Mn at (0.000, 0.000, 0.544), Mn at (0.500, 0.500, 0.307) and P at (0.500, 0.500, 0.700).